The following is a DFT calculation (PBE) of a relaxed structure of CdPRh2.

Total magnetic moment = 0.00 μB/f.u.
Uncorrected energy = -5.68 eV/atom
Density of states at the Fermi level = 2.3 states/eV/f.u.
Offset from the most stable computed form = 0.00 eV/f.u.

a = 3.602 Å, b = 3.602 Å, c = 6.389 Å
α = 73.62°, β = 73.62°, γ = 60.00°
Positions (direct):
Rh  0.278  0.278  0.166
Rh  0.055  0.055  0.834
P  0.667  0.667  0.998
Cd  0.499  0.499  0.502